[1]
SrNb2FeSi | GGA-PBE | relaxed

Calculated values
Its raw formation energy is 2.6188 eV/atom. The total moment comes out at 0.007 μB per formula unit. The density of states at the Fermi level comes out at 7.3 states/eV/cell.

a = 4.9560 Å, b = 4.9560 Å, c = 4.3075 Å
α = 90.00°, β = 90.00°, γ = 90.00°
Closest atoms and distances in Å follow each position.
Sites, in units of the cell vectors:
Sr  0.0000  0.0000  0.0000  2 Fe 2.15
Nb  0.0000  0.5000  0.0000  2 Sr 2.48
Nb  0.5000  0.0000  0.0000  2 Sr 2.48
Fe  0.0000  0.0000  0.5000  2 Sr 2.15
Si  0.5000  0.5000  0.5000  8 Nb 3.28, 4 Fe 3.50

=====

[2]
LiScSb2 | GGA-PBE | relaxed

Calculated values
Its raw formation energy is -0.5928 eV/atom. The total moment comes out at 0.000 μB per formula unit. The calculation puts the excess energy over the best structure of this formula in the dataset at 37 meV/atom. The density of states at the Fermi level comes out at 1.3 states/eV/cell.

a = 6.4803 Å, b = 6.4803 Å, c = 6.4803 Å
α = 39.87°, β = 39.87°, γ = 39.87°
Closest atoms and distances in Å follow each position.
Sites, in units of the cell vectors:
Li  0.0000  0.0000  0.0000  6 Sb 2.86-3.03, 1 Sc 3.19
Sc  0.1785  0.1785  0.1785  6 Sb 2.95-2.98, 1 Li 3.19
Sb  0.5947  0.5947  0.5947  3 Li 2.86, 1 Sb 2.93, 3 Sc 2.95
Sb  0.7586  0.7586  0.7586  1 Sb 2.93, 3 Sc 2.98, 3 Li 3.03

=====

[3]
Yb6Cr | GGA-PBE | relaxed

Calculated values
Its formation energy is 910 kJ/mol of formula units. The total moment comes out at 5.742 μB per formula unit. The density of states at the Fermi level comes out at 89.3 states/eV/cell.

a = 8.6230 Å, b = 8.6230 Å, c = 8.6230 Å
α = 109.47°, β = 109.47°, γ = 109.47°
Closest atoms and distances in Å follow each position.
Sites, in units of the cell vectors:
Yb  0.2500  0.5000  0.7500  4 Yb 3.52
Yb  0.2500  0.7500  0.5000  4 Yb 3.52
Yb  0.5000  0.2500  0.7500  4 Yb 3.52
Yb  0.5000  0.7500  0.2500  4 Yb 3.52
Yb  0.7500  0.2500  0.5000  4 Yb 3.52
Yb  0.7500  0.5000  0.2500  4 Yb 3.52
Cr  0.0000  0.0000  0.0000  24 Yb 5.57